No. 1
First-principles (GGA-PBE) data for a geometry-optimized Cs5RbS structure, as listed in Alexandria via LeMat-Bulk.

Computed properties:
- space-group type = C2/c, No. 15
- M_tot (μB/f.u.) = 0.0
- E_tot (eV for the cell shown) = -24.40
- formation energy (no corrections) (kJ/mol of formula units) = -274

a = 10.481 Å, b = 10.481 Å, c = 14.261 Å
α = 70.07°, β = 70.07°, γ = 61.48°
Element x y z (fractional)
Rb 0.502 0.498 0.750
Rb 0.498 0.502 0.250
Cs 0.085 0.636 0.068
Cs 0.362 0.927 0.926
Cs 0.364 0.915 0.432
Cs 0.998 0.002 0.750
Cs 0.002 0.998 0.250
Cs 0.073 0.638 0.574
Cs 0.636 0.085 0.568
Cs 0.638 0.073 0.074
Cs 0.915 0.364 0.932
Cs 0.927 0.362 0.426
S 0.000 0.000 0.500
S 0.000 0.000 0.000

No. 2
First-principles (GGA-PBE) data for a geometry-optimized Tb2MgAu structure, as listed in Alexandria via LeMat-Bulk.

Computed properties:
- space-group type = P4/mmm, No. 123
- energy relative to the lowest polymorph listed for this composition (meV per atom) = 0
- M_tot (μB/f.u.) = 0.0
- ΔE_f (eV per atom) = -0.466
- E_tot (eV for the cell shown) = -16.00

a = 3.714 Å, b = 3.714 Å, c = 7.302 Å
α = 90.00°, β = 90.00°, γ = 90.00°
Element x y z (fractional)
Mg 0.500 0.500 0.500
Au 0.500 0.500 0.000
Tb 0.000 0.000 0.235
Tb 0.000 0.000 0.765